Computed, not measured: Ti8Sb2P after structural relaxation at the PBE level of DFT.

Unit cell a=4.711 b=5.150 c=8.100 alpha=94.25 beta=106.91 gamma=90.00
Site moments in Bohr magnetons follow the coordinates.
Positions (direct):
Ti  0.414  0.452  0.829  0.00
Ti  0.661  0.098  0.323  -0.01
Ti  0.766  0.668  0.533  0.00
Ti  0.040  0.248  0.081  0.21
Ti  0.234  0.332  0.467  0.00
Ti  0.339  0.902  0.677  -0.01
Ti  0.586  0.548  0.171  0.00
Ti  0.960  0.752  0.919  0.21
Sb  0.846  0.210  0.692  0.00
Sb  0.154  0.790  0.308  0.00
P  0.500  0.000  0.000  -0.01

Values from the calculation:
Energy relative to the elements, uncorrected, eV per atom: -0.44
Size of the total moment, μB/atom: 0.04

=====

Computed, not measured: Li2LaZr after structural relaxation at the PBE level of DFT.

Unit cell a=4.585 b=4.589 c=4.589 alpha=90.00 beta=90.00 gamma=90.00
Positions (direct):
La  0.500  0.000  0.500
Li  0.000  0.000  0.000
Li  0.000  0.500  0.500
Zr  0.500  0.500  0.000

Values from the calculation:
ΔE_f, eV/atom: 0.357
Size of the total moment, μB/atom: 0.00

=====

Please write out number 1 again, unchanged.
Computed, not measured: Ti8Sb2P after structural relaxation at the PBE level of DFT.

Unit cell a=4.711 b=5.150 c=8.100 alpha=94.25 beta=106.91 gamma=90.00
Site moments in Bohr magnetons follow the coordinates.
Positions (direct):
Ti  0.414  0.452  0.829  0.00
Ti  0.661  0.098  0.323  -0.01
Ti  0.766  0.668  0.533  0.00
Ti  0.040  0.248  0.081  0.21
Ti  0.234  0.332  0.467  0.00
Ti  0.339  0.902  0.677  -0.01
Ti  0.586  0.548  0.171  0.00
Ti  0.960  0.752  0.919  0.21
Sb  0.846  0.210  0.692  0.00
Sb  0.154  0.790  0.308  0.00
P  0.500  0.000  0.000  -0.01

Values from the calculation:
Energy relative to the elements, uncorrected, eV per atom: -0.44
Size of the total moment, μB/atom: 0.04

=====

What did the first record say?
Computed, not measured: Ti8Sb2P after structural relaxation at the PBE level of DFT.

Unit cell a=4.711 b=5.150 c=8.100 alpha=94.25 beta=106.91 gamma=90.00
Site moments in Bohr magnetons follow the coordinates.
Positions (direct):
Ti  0.414  0.452  0.829  0.00
Ti  0.661  0.098  0.323  -0.01
Ti  0.766  0.668  0.533  0.00
Ti  0.040  0.248  0.081  0.21
Ti  0.234  0.332  0.467  0.00
Ti  0.339  0.902  0.677  -0.01
Ti  0.586  0.548  0.171  0.00
Ti  0.960  0.752  0.919  0.21
Sb  0.846  0.210  0.692  0.00
Sb  0.154  0.790  0.308  0.00
P  0.500  0.000  0.000  -0.01

Values from the calculation:
Energy relative to the elements, uncorrected, eV per atom: -0.44
Size of the total moment, μB/atom: 0.04

=====

Repeat the first record exactly.
Computed, not measured: Ti8Sb2P after structural relaxation at the PBE level of DFT.

Unit cell a=4.711 b=5.150 c=8.100 alpha=94.25 beta=106.91 gamma=90.00
Site moments in Bohr magnetons follow the coordinates.
Positions (direct):
Ti  0.414  0.452  0.829  0.00
Ti  0.661  0.098  0.323  -0.01
Ti  0.766  0.668  0.533  0.00
Ti  0.040  0.248  0.081  0.21
Ti  0.234  0.332  0.467  0.00
Ti  0.339  0.902  0.677  -0.01
Ti  0.586  0.548  0.171  0.00
Ti  0.960  0.752  0.919  0.21
Sb  0.846  0.210  0.692  0.00
Sb  0.154  0.790  0.308  0.00
P  0.500  0.000  0.000  -0.01

Values from the calculation:
Energy relative to the elements, uncorrected, eV per atom: -0.44
Size of the total moment, μB/atom: 0.04